1.
A geometry-optimized CrReAu structure. Source: Alexandria, functional GGA-PBE. Values from VASP.

The structure in Quantum ESPRESSO input format:
```
&SYSTEM
  ibrav = 0, nat = 3, ntyp = 3
/
ATOMIC_SPECIES
Au 196.97 Au.upf
Cr 52.00 Cr.upf
Re 186.21 Re.upf
ATOMIC_POSITIONS angstrom
Au 0.0408 -0.0352 0.0446
Cr 2.2710 -1.7428 0.2519
Re 2.0652 -3.5344 1.9624
CELL_PARAMETERS angstrom
-1.7040 -2.2521 -0.2187
2.1903 0.2961 -1.7716
3.8908 -3.3564 4.2491
```

Calculated values
calculated density: 15.60 g/cm³
Fermi-level density of states: 2.79 states/eV per cell
crystal system: trigonal
formation enthalpy at 0 K: 35.1 kJ/mol of atoms

2.
A geometry-optimized Cr2ReAu structure. Source: Alexandria, functional GGA-PBE. Values from VASP.

The structure in Quantum ESPRESSO input format:
```
&SYSTEM
  ibrav = 0, nat = 4, ntyp = 3
/
ATOMIC_SPECIES
Cr 52.00 Cr.upf
Re 186.21 Re.upf
Au 196.97 Au.upf
ATOMIC_POSITIONS angstrom
Cr -1.9603 0.7692 1.5596
Cr -0.2646 -0.1387 0.0827
Re -2.7692 -1.5174 0.9656
Au -5.0457 -0.9409 2.6651
CELL_PARAMETERS angstrom
-1.0080 3.1566 2.0695
-2.4719 -0.0730 -1.0926
-3.5493 -3.2499 3.2284
```

Calculated values
calculated density: 14.11 g/cm³
Fermi-level density of states: 4.09 states/eV per cell
crystal system: monoclinic
formation enthalpy at 0 K: 30.8 kJ/mol of atoms

3.
A geometry-optimized Cr2ReAu structure. Source: Alexandria, functional GGA-PBE. Values from VASP.

The structure in Quantum ESPRESSO input format:
```
&SYSTEM
  ibrav = 0, nat = 4, ntyp = 3
/
ATOMIC_SPECIES
Au 196.97 Au.upf
Re 186.21 Re.upf
Cr 52.00 Cr.upf
ATOMIC_POSITIONS angstrom
Au -3.9512 1.4660 4.4381
Re -1.4941 -0.5430 2.2166
Cr -0.0952 0.0779 0.0861
Cr -2.3619 1.9312 2.1354
CELL_PARAMETERS angstrom
-1.7264 -2.0966 -0.0134
1.1953 -0.9985 2.2250
-4.9142 4.0181 4.4430
```

Calculated values
calculated density: 14.15 g/cm³
Fermi-level density of states: 4.74 states/eV per cell
crystal system: tetragonal
formation enthalpy at 0 K: 31.1 kJ/mol of atoms

4.
A geometry-optimized CrRe2Au structure. Source: Alexandria, functional GGA-PBE. Values from VASP.

The structure in Quantum ESPRESSO input format:
```
&SYSTEM
  ibrav = 0, nat = 4, ntyp = 3
/
ATOMIC_SPECIES
Re 186.21 Re.upf
Cr 52.00 Cr.upf
Au 196.97 Au.upf
ATOMIC_POSITIONS angstrom
Re 0.0000 0.0000 0.0000
Re -1.8670 4.3242 6.6383
Cr -0.6223 1.4414 2.2128
Au -1.2447 2.8828 4.4255
CELL_PARAMETERS angstrom
-3.3001 1.8720 2.2881
0.1359 0.0705 4.4279
0.6748 3.8231 2.1350
```

Calculated values
calculated density: 16.78 g/cm³
Fermi-level density of states: 3.73 states/eV per cell
crystal system: cubic
formation enthalpy at 0 K: 48.5 kJ/mol of atoms

5.
A geometry-optimized CrRe2Au structure. Source: Alexandria, functional GGA-PBE. Values from VASP.

The structure in Quantum ESPRESSO input format:
```
&SYSTEM
  ibrav = 0, nat = 4, ntyp = 3
/
ATOMIC_SPECIES
Cr 52.00 Cr.upf
Au 196.97 Au.upf
Re 186.21 Re.upf
ATOMIC_POSITIONS angstrom
Cr 20.0665 3.0475 1.7865
Au 13.3541 2.0281 1.1889
Re 6.8451 1.0396 0.6094
Re 0.0359 0.0055 0.0032
CELL_PARAMETERS angstrom
9.2329 0.0029 0.0017
8.8175 2.7384 0.0017
8.8175 1.3391 2.3887
```

Calculated values
calculated density: 17.11 g/cm³
Fermi-level density of states: 3.31 states/eV per cell
crystal system: trigonal
formation enthalpy at 0 K: 29.2 kJ/mol of atoms

6.
A geometry-optimized CrRe2Au structure. Source: Alexandria, functional GGA-PBE. Values from VASP.

The structure in Quantum ESPRESSO input format:
```
&SYSTEM
  ibrav = 0, nat = 4, ntyp = 3
/
ATOMIC_SPECIES
Cr 52.00 Cr.upf
Re 186.21 Re.upf
Au 196.97 Au.upf
ATOMIC_POSITIONS angstrom
Cr 7.3123 2.2355 3.4739
Re 4.7919 1.4649 2.4169
Re 1.0493 0.3208 4.5003
Au 2.4374 0.7452 1.1580
CELL_PARAMETERS angstrom
4.8045 -0.0075 0.0153
3.9790 2.6927 0.0153
0.9663 0.2954 4.6013
```

Calculated values
calculated density: 17.31 g/cm³
Fermi-level density of states: 3.31 states/eV per cell
crystal system: monoclinic
formation enthalpy at 0 K: 32.2 kJ/mol of atoms

7.
A geometry-optimized Cr2ReAu structure. Source: Alexandria, functional GGA-PBE. Values from VASP.

The structure in Quantum ESPRESSO input format:
```
&SYSTEM
  ibrav = 0, nat = 4, ntyp = 3
/
ATOMIC_SPECIES
Cr 52.00 Cr.upf
Au 196.97 Au.upf
Re 186.21 Re.upf
ATOMIC_POSITIONS angstrom
Cr 9.3559 2.9357 4.4360
Cr 4.7708 1.4970 2.7236
Au 2.3544 0.7388 1.1933
Re 7.0633 2.2163 3.5798
CELL_PARAMETERS angstrom
4.7068 0.0234 -0.0026
3.8764 2.6698 -0.0026
0.8345 0.2619 4.7782
```

Calculated values
calculated density: 13.57 g/cm³
Fermi-level density of states: 4.86 states/eV per cell
crystal system: monoclinic
formation enthalpy at 0 K: 39.1 kJ/mol of atoms

8.
A geometry-optimized CrRe3Au structure. Source: Alexandria, functional GGA-PBE. Values from VASP.

The structure in Quantum ESPRESSO input format:
```
&SYSTEM
  ibrav = 0, nat = 5, ntyp = 3
/
ATOMIC_SPECIES
Cr 52.00 Cr.upf
Re 186.21 Re.upf
Au 196.97 Au.upf
ATOMIC_POSITIONS angstrom
Cr 0.0000 0.0000 0.0000
Re 0.0000 0.0000 2.2218
Re 2.2218 0.0000 0.0000
Re 0.0000 2.2218 0.0000
Au 2.2218 2.2218 2.2218
CELL_PARAMETERS angstrom
4.4437 0.0000 0.0000
0.0000 4.4437 0.0000
0.0000 0.0000 4.4437
```

Calculated values
calculated density: 15.28 g/cm³
Fermi-level density of states: 6.28 states/eV per cell
crystal system: cubic
formation enthalpy at 0 K: 154.7 kJ/mol of atoms

9.
A geometry-optimized CrRe2Au structure. Source: Alexandria, functional GGA-PBE. Values from VASP.

The structure in Quantum ESPRESSO input format:
```
&SYSTEM
  ibrav = 0, nat = 4, ntyp = 3
/
ATOMIC_SPECIES
Cr 52.00 Cr.upf
Au 196.97 Au.upf
Re 186.21 Re.upf
ATOMIC_POSITIONS angstrom
Cr -5.3474 -3.1034 1.2256
Au -3.6416 -0.8136 1.2423
Re -1.4621 -2.2354 -0.0998
Re -7.1805 -1.6042 2.4495
CELL_PARAMETERS angstrom
-0.5362 -1.3119 -2.4310
0.9173 -2.4205 1.1039
-7.2051 -1.6097 2.4579
```

Calculated values
calculated density: 16.75 g/cm³
Fermi-level density of states: 4.39 states/eV per cell
crystal system: tetragonal
formation enthalpy at 0 K: 28.6 kJ/mol of atoms

10.
A geometry-optimized CrRe2Au structure. Source: Alexandria, functional GGA-PBE. Values from VASP.

The structure in Quantum ESPRESSO input format:
```
&SYSTEM
  ibrav = 0, nat = 4, ntyp = 3
/
ATOMIC_SPECIES
Au 196.97 Au.upf
Cr 52.00 Cr.upf
Re 186.21 Re.upf
ATOMIC_POSITIONS angstrom
Au 3.1082 2.2385 0.0000
Cr 2.3663 -0.0085 1.3897
Re 0.0000 0.0000 0.0000
Re 0.7420 2.2470 1.3897
CELL_PARAMETERS angstrom
4.7326 -0.0169 0.0000
1.4839 4.4940 0.0000
-3.1082 -2.2385 2.7795
```

Calculated values
calculated density: 17.43 g/cm³
Fermi-level density of states: 3.76 states/eV per cell
crystal system: tetragonal
formation enthalpy at 0 K: 31.5 kJ/mol of atoms

11.
A geometry-optimized Cr2ReAu structure. Source: Alexandria, functional GGA-PBE. Values from VASP.

The structure in Quantum ESPRESSO input format:
```
&SYSTEM
  ibrav = 0, nat = 4, ntyp = 3
/
ATOMIC_SPECIES
Cr 52.00 Cr.upf
Au 196.97 Au.upf
Re 186.21 Re.upf
ATOMIC_POSITIONS angstrom
Cr -1.3776 2.2070 -26.1664
Cr -0.6980 1.1183 -13.2585
Au -1.0378 1.6626 -19.7124
Re -0.3459 0.5542 -6.5708
CELL_PARAMETERS angstrom
-1.2919 2.0808 -8.6042
1.1218 0.7910 -8.8400
-1.2137 -0.6549 -8.8390
```

Calculated values
calculated density: 14.06 g/cm³
Fermi-level density of states: 6.20 states/eV per cell
crystal system: trigonal
formation enthalpy at 0 K: 37.9 kJ/mol of atoms

12.
A geometry-optimized Cr2ReAu structure. Source: Alexandria, functional GGA-PBE. Values from VASP.

The structure in Quantum ESPRESSO input format:
```
&SYSTEM
  ibrav = 0, nat = 8, ntyp = 3
/
ATOMIC_SPECIES
Au 196.97 Au.upf
Cr 52.00 Cr.upf
Re 186.21 Re.upf
ATOMIC_POSITIONS angstrom
Au 0.0000 0.0000 0.0000
Au -5.5775 -5.2288 1.3726
Cr -3.8004 -6.6743 0.0143
Cr -1.5475 -4.9215 -1.9738
Cr -6.9256 -9.9220 -0.5484
Cr -4.1188 -3.0043 1.2423
Re -2.6187 -7.0323 -2.0054
Re -3.1365 -3.5906 -0.8302
CELL_PARAMETERS angstrom
-6.0953 -1.7870 2.5479
-0.1776 -5.3942 -4.2083
-1.9232 -5.0799 1.0276
```

Calculated values
calculated density: 12.93 g/cm³
Fermi-level density of states: 11.24 states/eV per cell
crystal system: tetragonal
formation enthalpy at 0 K: 83.9 kJ/mol of atoms

Listing ΔE to the lowest computed polymorph for the structures above in their given order: 20 73 76 236 37 68 158 0 30 61 146 623 meV/atom.